Record 1
This record from the Alexandria database describes a relaxed Ba2Li15Zn2 crystal. The functional is GGA-PBE.

Computed properties:
- space group = No. 166
- formation enthalpy at 0 K (eV/atom) = -0.001

a = 7.6992 Å, b = 7.6992 Å, c = 7.6992 Å
α = 83.67°, β = 83.67°, γ = 83.67°
Last column: nearest neighbours and their distance in Å.
Positions (direct):
1 Li 0.5000 0.0000 0.0000  8 Li 2.85-2.88, 2 Zn 3.16
2 Li 0.3326 0.3326 0.8777  4 Li 2.85-3.02, 1 Zn 2.99
3 Li 0.1223 0.6674 0.6674  4 Li 2.85-3.02, 1 Zn 2.99
4 Li 0.2698 0.7302 0.0000  6 Li 2.77-3.02, 2 Zn 3.09
5 Li 0.6674 0.6674 0.1223  4 Li 2.85-3.02, 1 Zn 2.99
6 Li 0.0000 0.0000 0.5000  8 Li 2.85-2.88, 2 Zn 3.16
7 Li 0.7302 0.2698 0.0000  6 Li 2.77-3.02, 2 Zn 3.09
8 Li 0.0000 0.5000 0.0000  8 Li 2.85-2.88, 2 Zn 3.16
9 Li 0.8777 0.3326 0.3326  4 Li 2.85-3.02, 1 Zn 2.99
10 Li 0.0000 0.2698 0.7302  6 Li 2.77-3.02, 2 Zn 3.09
11 Li 0.2698 0.0000 0.7302  6 Li 2.77-3.02, 2 Zn 3.09
12 Li 0.7302 0.0000 0.2698  6 Li 2.77-3.02, 2 Zn 3.09
13 Li 0.3326 0.8777 0.3326  4 Li 2.85-3.02, 1 Zn 2.99
14 Li 0.6674 0.1223 0.6674  4 Li 2.85-3.02, 1 Zn 2.99
15 Li 0.0000 0.7302 0.2698  6 Li 2.77-3.02, 2 Zn 3.09
16 Ba 0.3506 0.3506 0.3506  18 Li 3.68-4.03, 1 Zn 3.80
17 Ba 0.6494 0.6494 0.6494  18 Li 3.68-4.03, 1 Zn 3.80
18 Zn 0.0928 0.0928 0.0928  1 Zn 2.73, 3 Li 2.99
19 Zn 0.9072 0.9072 0.9072  1 Zn 2.73, 3 Li 2.99

=====

Record 2
This record from the Alexandria database describes a relaxed CaTb2Pr3S6 crystal. The functional is GGA-PBE.

Computed properties:
- space group = No. 12
- uncorrected formation energy (eV/atom) = -2.030

a = 6.9347 Å, b = 6.9347 Å, c = 7.0569 Å
α = 99.37°, β = 99.37°, γ = 120.01°
Last column: nearest neighbours and their distance in Å.
Positions (direct):
1 S 0.4128 0.0782 0.2352  2 Tb 2.79, 1 Ca 2.80, 3 Pr 2.91-2.92
2 S 0.5872 0.9218 0.7648  2 Tb 2.79, 1 Ca 2.80, 3 Pr 2.91-2.92
3 S 0.7432 0.7432 0.2319  2 Tb 2.78, 1 Ca 2.78, 3 Pr 2.91-2.92
4 S 0.9218 0.5872 0.7648  2 Tb 2.79, 1 Ca 2.80, 3 Pr 2.91-2.92
5 S 0.2568 0.2568 0.7681  2 Tb 2.78, 1 Ca 2.78, 3 Pr 2.91-2.92
6 S 0.0782 0.4128 0.2352  2 Tb 2.79, 1 Ca 2.80, 3 Pr 2.91-2.92
7 Tb 0.6668 0.3332 0.0000  6 S 2.78-2.79
8 Tb 0.3332 0.6668 0.0000  6 S 2.78-2.79
9 Pr 0.5000 0.5000 0.5000  6 S 2.91-2.92
10 Pr 0.1649 0.8351 0.5000  6 S 2.91-2.92
11 Pr 0.8351 0.1649 0.5000  6 S 2.91-2.92
12 Ca 0.0000 0.0000 0.0000  6 S 2.78-2.80

=====

Please write out number 2 again, unchanged.
This record from the Alexandria database describes a relaxed CaTb2Pr3S6 crystal. The functional is GGA-PBE.

Computed properties:
- space group = No. 12
- uncorrected formation energy (eV/atom) = -2.030

a = 6.9347 Å, b = 6.9347 Å, c = 7.0569 Å
α = 99.37°, β = 99.37°, γ = 120.01°
Last column: nearest neighbours and their distance in Å.
Positions (direct):
1 S 0.4128 0.0782 0.2352  2 Tb 2.79, 1 Ca 2.80, 3 Pr 2.91-2.92
2 S 0.5872 0.9218 0.7648  2 Tb 2.79, 1 Ca 2.80, 3 Pr 2.91-2.92
3 S 0.7432 0.7432 0.2319  2 Tb 2.78, 1 Ca 2.78, 3 Pr 2.91-2.92
4 S 0.9218 0.5872 0.7648  2 Tb 2.79, 1 Ca 2.80, 3 Pr 2.91-2.92
5 S 0.2568 0.2568 0.7681  2 Tb 2.78, 1 Ca 2.78, 3 Pr 2.91-2.92
6 S 0.0782 0.4128 0.2352  2 Tb 2.79, 1 Ca 2.80, 3 Pr 2.91-2.92
7 Tb 0.6668 0.3332 0.0000  6 S 2.78-2.79
8 Tb 0.3332 0.6668 0.0000  6 S 2.78-2.79
9 Pr 0.5000 0.5000 0.5000  6 S 2.91-2.92
10 Pr 0.1649 0.8351 0.5000  6 S 2.91-2.92
11 Pr 0.8351 0.1649 0.5000  6 S 2.91-2.92
12 Ca 0.0000 0.0000 0.0000  6 S 2.78-2.80